! Ga3CoPd GGA-PBEsol relaxed; values from VASP
! Crystal system: cubic
! E (eV/cell): -23.52
&SYSTEM
  ibrav = 0, nat = 5, ntyp = 3
/
ATOMIC_SPECIES
Ga 69.72 Ga.upf
Co 58.93 Co.upf
Pd 106.42 Pd.upf
ATOMIC_POSITIONS crystal
Ga 0.000 0.000 0.500
Ga 0.000 0.500 0.000
Ga 0.500 0.000 0.000
Co 0.000 0.000 0.000
Pd 0.500 0.500 0.500
CELL_PARAMETERS angstrom
4.391 0.000 0.000
0.000 4.391 0.000
0.000 0.000 4.391


! RbScP3 GGA-PBEsol relaxed; values from VASP
! Crystal system: cubic
! E (eV/cell): -25.09
&SYSTEM
  ibrav = 0, nat = 5, ntyp = 3
/
ATOMIC_SPECIES
Rb 85.47 Rb.upf
Sc 44.96 Sc.upf
P 30.97 P.upf
ATOMIC_POSITIONS crystal
Rb 0.000 0.000 0.000
Sc 0.500 0.500 0.500
P 0.000 0.500 0.500
P 0.500 0.000 0.500
P 0.500 0.500 0.000
CELL_PARAMETERS angstrom
4.990 0.000 0.000
0.000 4.990 0.000
0.000 0.000 4.990


! SrScAlHg2 GGA-PBEsol relaxed; values from VASP
! Crystal system: tetragonal
! E (eV/cell): -13.57
&SYSTEM
  ibrav = 0, nat = 5, ntyp = 4
/
ATOMIC_SPECIES
Sr 87.62 Sr.upf
Sc 44.96 Sc.upf
Al 26.98 Al.upf
Hg 200.59 Hg.upf
ATOMIC_POSITIONS crystal
Sr 0.000 0.000 0.000
Sc 0.500 0.500 0.000
Al 0.500 0.500 0.500
Hg 0.000 0.500 0.500
Hg 0.500 0.000 0.500
CELL_PARAMETERS angstrom
5.102 0.000 0.000
0.000 5.102 0.000
0.000 0.000 5.168


! Na3YSi6O15 GGA-PBEsol relaxed; values from VASP
! Crystal system: orthorhombic
! E (eV/cell): -773.14
&SYSTEM
  ibrav = 0, nat = 100, ntyp = 4
/
ATOMIC_SPECIES
Na 22.99 Na.upf
Y 88.91 Y.upf
Si 28.09 Si.upf
O 16.00 O.upf
ATOMIC_POSITIONS crystal
Na 0.029 0.471 0.750
Na 0.071 0.929 0.753
Na 0.237 0.237 0.000
Na 0.263 0.263 0.500
Na 0.429 0.571 0.253
Na 0.471 0.029 0.250
Na 0.529 0.971 0.750
Na 0.571 0.429 0.747
Na 0.737 0.737 0.500
Na 0.763 0.763 0.000
Na 0.929 0.071 0.247
Na 0.971 0.529 0.250
Y 0.159 0.341 0.250
Y 0.341 0.159 0.750
Y 0.659 0.841 0.250
Y 0.841 0.659 0.750
Si 0.027 0.760 0.480
Si 0.029 0.192 0.800
Si 0.084 0.704 0.965
Si 0.192 0.029 0.200
Si 0.204 0.584 0.465
Si 0.240 0.973 0.480
Si 0.260 0.527 0.980
Si 0.296 0.916 0.965
Si 0.308 0.471 0.700
Si 0.416 0.796 0.465
Si 0.471 0.308 0.300
Si 0.473 0.740 0.980
Si 0.527 0.260 0.020
Si 0.529 0.692 0.700
Si 0.584 0.204 0.535
Si 0.692 0.529 0.300
Si 0.704 0.084 0.035
Si 0.740 0.473 0.020
Si 0.760 0.027 0.520
Si 0.796 0.416 0.535
Si 0.808 0.971 0.800
Si 0.916 0.296 0.035
Si 0.971 0.808 0.200
Si 0.973 0.240 0.520
O 0.003 0.281 0.913
O 0.012 0.656 0.841
O 0.017 0.266 0.669
O 0.072 0.928 0.202
O 0.080 0.252 0.423
O 0.106 0.894 0.489
O 0.114 0.667 0.515
O 0.153 0.154 0.181
O 0.154 0.153 0.819
O 0.156 0.512 0.341
O 0.164 0.836 0.935
O 0.167 0.614 0.015
O 0.219 0.497 0.587
O 0.234 0.483 0.831
O 0.248 0.420 0.077
O 0.252 0.080 0.577
O 0.266 0.017 0.331
O 0.281 0.003 0.087
O 0.333 0.886 0.515
O 0.336 0.664 0.435
O 0.344 0.988 0.841
O 0.346 0.347 0.319
O 0.347 0.346 0.681
O 0.386 0.833 0.015
O 0.394 0.606 0.989
O 0.420 0.248 0.923
O 0.428 0.572 0.702
O 0.483 0.234 0.169
O 0.488 0.844 0.341
O 0.497 0.219 0.413
O 0.503 0.781 0.587
O 0.512 0.156 0.659
O 0.517 0.766 0.831
O 0.572 0.428 0.298
O 0.580 0.752 0.077
O 0.606 0.394 0.011
O 0.614 0.167 0.985
O 0.653 0.654 0.319
O 0.654 0.653 0.681
O 0.656 0.012 0.159
O 0.664 0.336 0.565
O 0.667 0.114 0.485
O 0.719 0.997 0.913
O 0.734 0.983 0.669
O 0.748 0.920 0.423
O 0.752 0.580 0.923
O 0.766 0.517 0.169
O 0.781 0.503 0.413
O 0.833 0.386 0.985
O 0.836 0.164 0.065
O 0.844 0.488 0.659
O 0.846 0.847 0.181
O 0.847 0.846 0.819
O 0.886 0.333 0.485
O 0.894 0.106 0.511
O 0.920 0.748 0.577
O 0.928 0.072 0.798
O 0.983 0.734 0.331
O 0.988 0.344 0.159
O 0.997 0.719 0.087
CELL_PARAMETERS angstrom
7.337 -8.882 0.000
7.337 8.882 0.000
0.000 0.000 10.571